1.
BePt2Rh | SCAN | PBEsol geometry

## Properties
Total magnetic moment ... 1.25 μB per formula unit
Energy of formation ... -0.48 eV/atom
D(E_F) ... 3.09 states/eV/f.u.
V ... 12.8 A^3/atom
Uncorrected energy ... -45.11 eV per atom

a = 2.727 Å, b = 2.727 Å, c = 6.877 Å
α = 90.00°, β = 90.00°, γ = 90.00°
Fractional coordinates of all 4 atoms:
Be  0.000  0.000  0.000
Pt  0.500  0.500  0.209
Pt  0.500  0.500  0.791
Rh  0.000  0.000  0.500

***

2.
CaY2Bi2 | SCAN | PBEsol geometry

## Properties
Total magnetic moment ... 0.00 μB per formula unit
Energy of formation ... -0.87 eV/atom
D(E_F) ... 1.36 states/eV/f.u.
V ... 29.5 A^3/atom
Uncorrected energy ... -45.37 eV per atom

a = 8.399 Å, b = 8.399 Å, c = 4.189 Å
α = 90.00°, β = 90.00°, γ = 90.00°
Fractional coordinates of all 10 atoms:
Ca  0.000  0.000  0.000
Ca  0.500  0.500  0.000
Y  0.153  0.347  0.500
Y  0.347  0.847  0.500
Y  0.653  0.153  0.500
Y  0.847  0.653  0.500
Bi  0.149  0.649  0.000
Bi  0.351  0.149  0.000
Bi  0.649  0.851  0.000
Bi  0.851  0.351  0.000

***

3.
LiSi2Au | SCAN | PBEsol geometry

## Properties
Total magnetic moment ... 0.00 μB per formula unit
D(E_F) ... 1.68 states/eV/f.u.
ΔE_f (raw) ... 0.030 eV/atom
V ... 17.2 A^3/atom
Uncorrected energy ... -22.86 eV per atom

a = 7.546 Å, b = 7.546 Å, c = 4.833 Å
α = 90.00°, β = 90.00°, γ = 90.00°
Fractional coordinates of all 16 atoms:
Li  0.000  0.000  0.000
Li  0.000  0.500  0.250
Li  0.500  0.000  0.750
Li  0.500  0.500  0.500
Si  0.200  0.750  0.625
Si  0.250  0.200  0.375
Si  0.250  0.300  0.875
Si  0.300  0.750  0.125
Si  0.700  0.250  0.125
Si  0.750  0.700  0.875
Si  0.750  0.800  0.375
Si  0.800  0.250  0.625
Au  0.000  0.000  0.500
Au  0.000  0.500  0.750
Au  0.500  0.000  0.250
Au  0.500  0.500  0.000